# TcNiH | the Alexandria database | PBE-GGA | optimized geometry
data_TcNiH
_chemical_formula_sum 'Tc4 Ni4 H4'
_cell_length_a 5.3220
_cell_length_b 2.6680
_cell_length_c 8.5532
_cell_angle_alpha 90.00
_cell_angle_beta 90.00
_cell_angle_gamma 90.00
_space_group_name_H-M_alt 'P 1'
_space_group_IT_number 1
_space_group_name_Hall 'P 1'
loop_
_atom_site_label
_atom_site_type_symbol
_atom_site_fract_x
_atom_site_fract_y
_atom_site_fract_z
Tc1 Tc 0.1289 0.2500 0.0982
Tc2 Tc 0.3711 0.7500 0.5982
Tc3 Tc 0.6289 0.2500 0.4018
Tc4 Tc 0.8711 0.7500 0.9018
Ni1 Ni 0.1223 0.2500 0.4002
Ni2 Ni 0.3777 0.7500 0.9002
Ni3 Ni 0.6223 0.2500 0.0998
Ni4 Ni 0.8777 0.7500 0.5998
H1 H 0.1042 0.7500 0.2620
H2 H 0.3958 0.2500 0.7620
H3 H 0.6042 0.7500 0.2380
H4 H 0.8958 0.2500 0.7380
# * energy above the most stable polymorph in this dataset: 193 meV per atom
# * size of the total moment: 0.000 μB/f.u.
# * symmetry: No. 62